1.
A plane-wave DFT calculation with PBE-GGA was carried out for a relaxed Tl2Ag2Cl crystal.

abc: 3.9352 3.9352 9.1971
angles: 77.65 77.65 90.00
Closest atoms and distances in Å follow each position.
Positions (direct):
Ag  0.2500  0.7500  0.5000  4 Ag 2.78
Ag  0.7500  0.2500  0.5000  4 Ag 2.78
Tl  0.3973  0.3973  0.2054  4 Ag 3.25, 4 Cl 3.31, 1 Tl 3.60
Tl  0.6027  0.6027  0.7946  4 Ag 3.25, 4 Cl 3.31, 1 Tl 3.60
Cl  0.0000  0.0000  0.0000  8 Tl 3.31

Output
**Energy relative to the elements, uncorrected**: -191 meV per atom
**Polymorph energy (0 for the lowest one)**: 0.000 eV per atom

***

2.
A plane-wave DFT calculation with PBE-GGA was carried out for a relaxed CoPtSe crystal.

abc: 3.7615 3.7615 3.7432
angles: 90.00 90.00 120.00
Closest atoms and distances in Å follow each position.
Positions (direct):
Se  0.3333  0.6667  0.7327  3 Co 2.29
Pt  0.6667  0.3333  0.3370  3 Se 2.63, 3 Co 2.65
Co  0.0000  0.0000  0.9303  3 Se 2.29

Output
**Energy relative to the elements, uncorrected**: 140 meV per atom
**Polymorph energy (0 for the lowest one)**: 0.000 eV per atom

***

3.
A plane-wave DFT calculation with PBE-GGA was carried out for a relaxed ThSc5Al3 crystal.

abc: 6.2716 8.6298 8.6298
angles: 120.00 90.00 90.00
Closest atoms and distances in Å follow each position.
Positions (direct):
Sc  0.0000  0.3333  0.6667  8 Sc 3.14-3.27, 6 Al 3.24
Sc  0.7500  0.6652  0.6652  3 Al 2.79-2.92
Sc  0.5000  0.3333  0.6667  8 Sc 3.14-3.27, 6 Al 3.24
Sc  0.2500  0.0000  0.6652  3 Al 2.79-2.92
Sc  0.7500  0.3348  0.0000  3 Al 2.79-2.92
Sc  0.7500  0.0000  0.3348  3 Al 2.79-2.92
Sc  0.0000  0.6667  0.3333  8 Sc 3.14-3.27, 6 Al 3.24
Sc  0.2500  0.3348  0.3348  3 Al 2.79-2.92
Sc  0.5000  0.6667  0.3333  8 Sc 3.14-3.27, 6 Al 3.24
Sc  0.2500  0.6652  0.0000  3 Al 2.79-2.92
Th  0.0000  0.0000  0.0000  2 Th 3.14, 6 Sc 3.29, 6 Al 3.34
Th  0.5000  0.0000  0.0000  2 Th 3.14, 6 Sc 3.29, 6 Al 3.34
Al  0.7500  0.0000  0.6579  3 Sc 2.79-2.92
Al  0.2500  0.6579  0.6579  3 Sc 2.79-2.92
Al  0.2500  0.0000  0.3421  3 Sc 2.79-2.92
Al  0.7500  0.6579  0.0000  3 Sc 2.79-2.92
Al  0.7500  0.3421  0.3421  3 Sc 2.79-2.92
Al  0.2500  0.3421  0.0000  3 Sc 2.79-2.92

Output
**Total energy**: -5.89 eV/atom